Record 1
Entry from Alexandria via LeMat-Bulk: La2CuMo after structural relaxation (GGA-PBE).

Computed properties:
space-group type: C2/m
energy relative to the elements: 471 meV/atom
excess energy over the best structure of this formula in the dataset: 81.1 kJ/mol of formula units

abc: 6.734 3.247 9.048
angles: 90.00 95.78 90.00
Fractional coordinates of all 8 atoms:
La 0.243 0.000 0.252
La 0.257 0.500 0.748
La 0.743 0.500 0.252
La 0.757 0.000 0.748
Cu 0.000 0.500 0.000
Cu 0.500 0.000 0.000
Mo 0.000 0.000 0.500
Mo 0.500 0.500 0.500



Record 2
Entry from Alexandria via LeMat-Bulk: LaCu2Mo after structural relaxation (GGA-PBE).

Computed properties:
space-group type: I-4m2
energy relative to the elements: 477 meV/atom
excess energy over the best structure of this formula in the dataset: 83.8 kJ/mol of formula units

abc: 4.044 4.044 8.826
angles: 90.00 90.00 90.00
Fractional coordinates of all 8 atoms:
La 0.000 0.000 0.000
La 0.500 0.500 0.500
Cu 0.000 0.000 0.500
Cu 0.000 0.500 0.250
Cu 0.500 0.000 0.750
Cu 0.500 0.500 0.000
Mo 0.000 0.500 0.750
Mo 0.500 0.000 0.250



Record 3
Entry from Alexandria via LeMat-Bulk: LaCu2Mo after structural relaxation (GGA-PBE).

Computed properties:
space-group type: R3m
energy relative to the elements: 599 meV/atom
excess energy over the best structure of this formula in the dataset: 131.0 kJ/mol of formula units

abc: 2.952 2.952 28.452
angles: 90.00 90.00 120.00
Fractional coordinates of all 12 atoms:
La 0.000 0.000 0.000
La 0.333 0.667 0.667
La 0.667 0.333 0.333
Cu 0.000 0.000 0.239
Cu 0.000 0.000 0.507
Cu 0.333 0.667 0.174
Cu 0.333 0.667 0.905
Cu 0.667 0.333 0.572
Cu 0.667 0.333 0.840
Mo 0.000 0.000 0.768
Mo 0.333 0.667 0.434
Mo 0.667 0.333 0.101



Record 4
Entry from Alexandria via LeMat-Bulk: LaCu3Mo after structural relaxation (GGA-PBE).

Computed properties:
space-group type: Pm-3m
energy relative to the elements: 1883 meV/atom
excess energy over the best structure of this formula in the dataset: 615.7 kJ/mol of formula units

abc: 4.821 4.821 4.821
angles: 90.00 90.00 90.00
Fractional coordinates of all 5 atoms:
La 0.000 0.000 0.000
Cu 0.000 0.000 0.500
Cu 0.000 0.500 0.000
Cu 0.500 0.000 0.000
Mo 0.500 0.500 0.500



Record 5
Entry from Alexandria via LeMat-Bulk: LaCuMo2 after structural relaxation (GGA-PBE).

Computed properties:
space-group type: P4/mmm
energy relative to the elements: 479 meV/atom
excess energy over the best structure of this formula in the dataset: 87.3 kJ/mol of formula units

abc: 3.417 3.417 6.815
angles: 90.00 90.00 90.00
Fractional coordinates of all 4 atoms:
La 0.000 0.000 0.000
Cu 0.000 0.000 0.500
Mo 0.500 0.500 0.334
Mo 0.500 0.500 0.666



Record 6
Entry from Alexandria via LeMat-Bulk: La2CuMo after structural relaxation (GGA-PBE).

Computed properties:
space-group type: I-4m2
energy relative to the elements: 404 meV/atom
excess energy over the best structure of this formula in the dataset: 55.4 kJ/mol of formula units

abc: 4.385 4.385 9.422
angles: 90.00 90.00 90.00
Fractional coordinates of all 8 atoms:
La 0.000 0.000 0.000
La 0.000 0.500 0.250
La 0.500 0.000 0.750
La 0.500 0.500 0.500
Cu 0.000 0.000 0.500
Cu 0.500 0.500 0.000
Mo 0.000 0.500 0.750
Mo 0.500 0.000 0.250



Record 7
Entry from Alexandria via LeMat-Bulk: LaCuMo2 after structural relaxation (GGA-PBE).

Computed properties:
space-group type: R-3m
energy relative to the elements: 821 meV/atom
excess energy over the best structure of this formula in the dataset: 219.1 kJ/mol of formula units

abc: 2.861 2.861 30.976
angles: 90.00 90.00 120.00
Fractional coordinates of all 12 atoms:
La 0.000 0.000 0.000
La 0.333 0.667 0.667
La 0.667 0.333 0.333
Cu 0.000 0.000 0.500
Cu 0.333 0.667 0.167
Cu 0.667 0.333 0.833
Mo 0.000 0.000 0.237
Mo 0.000 0.000 0.763
Mo 0.333 0.667 0.430
Mo 0.333 0.667 0.904
Mo 0.667 0.333 0.096
Mo 0.667 0.333 0.570



Record 8
Entry from Alexandria via LeMat-Bulk: LaCu2Mo after structural relaxation (GGA-PBE).

Computed properties:
space-group type: Pm
energy relative to the elements: 348 meV/atom
excess energy over the best structure of this formula in the dataset: 34.2 kJ/mol of formula units

abc: 3.034 4.258 5.832
angles: 90.00 105.01 90.00
Fractional coordinates of all 4 atoms:
La 0.000 0.000 0.000
Cu 0.258 0.000 0.511
Cu 0.377 0.500 0.753
Mo 0.684 0.500 0.365



Calculated magnetization in order - 0.000 0.000 1.931 0.001 0.000 0.000 0.515 0.000 μB per cell